# PBE-GGA Pu5Pa3Se8, relaxed
data_Pu5Pa3Se8
_chemical_formula_sum 'Pu15 Pa9 Se24'
_symmetry_space_group_name_H-M 'R -3 m'
_symmetry_Int_Tables_number 166
_symmetry_space_group_name_Hall '-R 3 2"'
_cell_length_a 8.1507
_cell_length_b 8.1507
_cell_length_c 20.3738
_cell_angle_alpha 90.00
_cell_angle_beta 90.00
_cell_angle_gamma 120.00
loop_
_atom_site_label
_atom_site_type_symbol
_atom_site_fract_x
_atom_site_fract_y
_atom_site_fract_z
_atom_site_occupancy
Pu1 Pu 0.0000 0.0000 0.0000 1
Pu2 Pu 0.0000 0.0000 0.5000 1
Pu3 Pu 0.0000 0.5000 0.0000 1
Pa1 Pa 0.0000 0.5000 0.5000 1
Se1 Se 0.0000 0.0000 0.2507 1
Se2 Se 0.0007 0.5003 0.2503 1
# Formation energy (no corrections): -1387.1 meV/atom
# Raw total energy: -9.389 eV/atom
# Crystal system: trigonal
# Magnetic moment: 78.4 μB per cell